# 1
! ZnSbPd (PBE-GGA, optimized geometry); values from VASP
! spin magnetization = 0.00 Bohr magnetons per cell
! E = -21.9 eV/cell
! crystal system = tetragonal
&SYSTEM
  ibrav = 0, nat = 6, ntyp = 3
/
ATOMIC_SPECIES
Zn 65.41 Zn.upf
Sb 121.76 Sb.upf
Pd 106.42 Pd.upf
ATOMIC_POSITIONS crystal
Zn 0.000 0.000 0.000
Zn 0.500 0.500 0.500
Sb 0.000 0.000 0.799
Sb 0.500 0.500 0.299
Pd 0.000 0.000 0.608
Pd 0.500 0.500 0.108
CELL_PARAMETERS angstrom
3.002 0.000 0.000
0.000 3.002 0.000
0.000 0.000 13.970



# 2
! PmErGaPd (PBE-GGA, optimized geometry); values from VASP
! energy relative to the elements = -2.8 eV per formula unit
! spin magnetization = 0.00 Bohr magnetons per cell
! polymorph energy (0 for the lowest one) = 0.000 eV/atom
! crystal system = orthorhombic
&SYSTEM
  ibrav = 0, nat = 8, ntyp = 4
/
ATOMIC_SPECIES
Pm 145.00 Pm.upf
Er 167.26 Er.upf
Ga 69.72 Ga.upf
Pd 106.42 Pd.upf
ATOMIC_POSITIONS crystal
Pm 0.000 0.000 0.000
Pm 0.000 0.500 0.500
Er 0.500 0.000 0.714
Er 0.500 0.500 0.214
Ga 0.500 0.000 0.428
Ga 0.500 0.500 0.928
Pd 0.000 0.000 0.277
Pd 0.000 0.500 0.777
CELL_PARAMETERS angstrom
4.482 0.000 0.000
0.000 3.791 0.000
0.000 0.000 11.152



# 3
! YCoAg4 (PBE-GGA, optimized geometry); values from VASP
! energy relative to the elements = 1.0 eV per formula unit
! spin magnetization = 0.93 Bohr magnetons per cell
! crystal system = cubic
&SYSTEM
  ibrav = 0, nat = 6, ntyp = 3
/
ATOMIC_SPECIES
Y 88.91 Y.upf
Co 58.93 Co.upf
Ag 107.87 Ag.upf
ATOMIC_POSITIONS crystal
Y 0.000 0.000 0.000
Co 0.250 0.250 0.250
Ag 0.127 0.624 0.624
Ag 0.624 0.127 0.624
Ag 0.624 0.624 0.127
Ag 0.624 0.624 0.624
CELL_PARAMETERS angstrom
0.000 3.875 3.875
3.875 0.000 3.875
3.875 3.875 0.000



# 4
! Li2Pm2NdSn2 (PBE-GGA, optimized geometry); values from VASP
! energy relative to the elements = -3.3 eV per formula unit
! spin magnetization = 0.00 Bohr magnetons per cell
! crystal system = trigonal
&SYSTEM
  ibrav = 0, nat = 7, ntyp = 4
/
ATOMIC_SPECIES
Li 6.94 Li.upf
Pm 145.00 Pm.upf
Nd 144.24 Nd.upf
Sn 118.71 Sn.upf
ATOMIC_POSITIONS crystal
Li 0.096 0.096 0.096
Li 0.904 0.904 0.904
Pm 0.370 0.370 0.370
Pm 0.630 0.630 0.630
Nd 0.500 0.500 0.500
Sn 0.237 0.237 0.237
Sn 0.763 0.763 0.763
CELL_PARAMETERS angstrom
2.420 1.397 9.206
-2.420 1.397 9.206
0.000 -2.795 9.206



# 5
! AlV2InCu (PBE-GGA, optimized geometry); values from VASP
! energy relative to the elements = 4.5 eV per formula unit
! spin magnetization = 2.16 Bohr magnetons per cell
! crystal system = tetragonal
&SYSTEM
  ibrav = 0, nat = 5, ntyp = 4
/
ATOMIC_SPECIES
Al 26.98 Al.upf
V 50.94 V.upf
In 114.82 In.upf
Cu 63.55 Cu.upf
ATOMIC_POSITIONS crystal
Al 0.000 0.000 0.000
V 0.000 0.500 0.000
V 0.500 0.000 0.000
In 0.500 0.500 0.500
Cu 0.000 0.000 0.500
CELL_PARAMETERS angstrom
4.589 0.000 0.000
0.000 4.589 0.000
0.000 0.000 4.396



# 6
! Tl3CuTe3S8 (PBE-GGA, optimized geometry); values from VASP
! spin magnetization = 0.00 Bohr magnetons per cell
! E = -54.3 eV/cell
! crystal system = monoclinic
&SYSTEM
  ibrav = 0, nat = 15, ntyp = 4
/
ATOMIC_SPECIES
Tl 204.38 Tl.upf
Cu 63.55 Cu.upf
Te 127.60 Te.upf
S 32.06 S.upf
ATOMIC_POSITIONS crystal
Tl 0.000 0.000 0.000
Tl 0.000 0.500 0.000
Tl 0.500 0.000 0.000
Cu 0.000 0.000 0.500
Te 0.000 0.500 0.500
Te 0.500 0.000 0.500
Te 0.500 0.500 0.500
S 0.197 0.764 0.673
S 0.236 0.803 0.327
S 0.269 0.269 0.295
S 0.272 0.272 0.728
S 0.728 0.728 0.272
S 0.731 0.731 0.705
S 0.764 0.197 0.673
S 0.803 0.236 0.327
CELL_PARAMETERS angstrom
6.945 -3.892 0.000
6.945 3.892 0.000
-4.703 0.000 7.311